Record 1
Here is an optimized crystal structure of Cs2Ag2As from Alexandria via LeMat-Bulk. Energies are from PBE-GGA.

The structure in POSCAR format:
```
Cs2Ag2As
1.0
7.3979 0.0000 0.0000
0.0000 7.3979 0.0000
0.0000 0.0000 5.8908
As Ag Cs
2 4 4
Direct
0.0000 0.0000 0.0000 As
0.5000 0.5000 0.0000 As
0.3602 0.8602 0.0000 Ag
0.8602 0.6398 0.0000 Ag
0.6398 0.1398 0.0000 Ag
0.1398 0.3602 0.0000 Ag
0.6859 0.8141 0.5000 Cs
0.1859 0.6859 0.5000 Cs
0.3141 0.1859 0.5000 Cs
0.8141 0.3141 0.5000 Cs
```

## Properties
Fermi-level density of states = 3.9 states/eV/cell
excess energy over the best structure of this formula in the dataset = 0.0 kJ/mol of formula units
DFT formation energy = 11 meV/atom
uncorrected energy = -2.401 eV/atom

---

Record 2
Here is an optimized crystal structure of CaBiPt5 from Alexandria via LeMat-Bulk. Energies are from PBE-GGA.

The structure in POSCAR format:
```
CaBiPt5
1.0
5.5457 0.0000 0.0000
0.0000 8.9097 0.0000
0.0000 0.0000 11.1380
Pt Bi Ca
20 4 4
Direct
0.9980 0.9089 0.3212 Pt
0.0020 0.0911 0.6788 Pt
0.7500 0.4013 0.9698 Pt
0.4980 0.0911 0.6788 Pt
0.7500 0.6026 0.6027 Pt
0.0020 0.5911 0.8212 Pt
0.2500 0.6546 0.2692 Pt
0.7500 0.3454 0.7308 Pt
0.2500 0.3974 0.3973 Pt
0.2500 0.0987 0.4698 Pt
0.7500 0.1026 0.8973 Pt
0.2500 0.1546 0.2308 Pt
0.2500 0.5987 0.0302 Pt
0.2500 0.8974 0.1027 Pt
0.4980 0.5911 0.8212 Pt
0.7500 0.8454 0.7692 Pt
0.5020 0.9089 0.3212 Pt
0.5020 0.4089 0.1788 Pt
0.7500 0.9013 0.5302 Pt
0.9980 0.4089 0.1788 Pt
0.7500 0.1219 0.1409 Bi
0.2500 0.3781 0.6409 Bi
0.7500 0.6219 0.3591 Bi
0.2500 0.8781 0.8591 Bi
0.7500 0.2373 0.4414 Ca
0.2500 0.2627 0.9414 Ca
0.7500 0.7373 0.0586 Ca
0.2500 0.7627 0.5586 Ca
```

## Properties
Fermi-level density of states = 26.4 states/eV/cell
DFT formation energy = -412 meV/atom
uncorrected energy = -5.567 eV/atom

---

Record 3
Here is an optimized crystal structure of MoP3Pb from Alexandria via LeMat-Bulk. Energies are from PBE-GGA.

The structure in POSCAR format:
```
MoP3Pb
1.0
4.7678 0.0000 0.0000
0.0000 4.7678 0.0000
0.0000 0.0000 4.7678
P Pb Mo
3 1 1
Direct
0.0000 0.0000 0.5000 P
0.0000 0.5000 0.0000 P
0.5000 0.0000 0.0000 P
0.5000 0.5000 0.5000 Pb
0.0000 0.0000 0.0000 Mo
```

## Properties
Fermi-level density of states = 3.0 states/eV/cell
excess energy over the best structure of this formula in the dataset = 0.0 kJ/mol of formula units
DFT formation energy = 349 meV/atom
uncorrected energy = -5.805 eV/atom

---

Record 4
Here is an optimized crystal structure of MoPIr2 from Alexandria via LeMat-Bulk. Energies are from PBE-GGA.

The structure in POSCAR format:
```
MoPIr2
1.0
2.6656 -3.8764 0.0000
2.6656 3.8764 0.0000
0.0000 0.0000 2.8162
Mo Ir P
1 2 1
Direct
0.0000 0.0000 0.5000 Mo
0.0000 0.5000 0.0000 Ir
0.5000 0.0000 0.0000 Ir
0.5000 0.5000 0.5000 P
```

## Properties
Fermi-level density of states = 4.4 states/eV/cell
DFT formation energy = 95 meV/atom
uncorrected energy = -8.395 eV/atom

---

Record 5
Here is an optimized crystal structure of TaCdIr from Alexandria via LeMat-Bulk. Energies are from PBE-GGA.

The structure in POSCAR format:
```
TaCdIr
1.0
5.0472 0.0000 0.0074
0.0000 2.9140 0.0000
-4.4310 0.0000 14.3634
Ta Cd Ir
4 4 4
Direct
0.2909 0.5000 0.0247 Ta
0.7876 0.0000 0.3396 Ta
0.7876 0.5000 0.8396 Ta
0.2909 0.0000 0.5247 Ta
0.7931 0.0000 0.0241 Cd
0.2101 0.0000 0.2025 Cd
0.7931 0.5000 0.5241 Cd
0.2101 0.5000 0.7025 Cd
0.2926 0.5000 0.3759 Ir
0.2926 0.0000 0.8759 Ir
0.6933 0.5000 0.1843 Ir
0.6933 0.0000 0.6843 Ir
```

## Properties
Fermi-level density of states = 8.3 states/eV/cell
excess energy over the best structure of this formula in the dataset = 15.9 kJ/mol of formula units
DFT formation energy = -61 meV/atom
uncorrected energy = -7.270 eV/atom

---

Record 6
Here is an optimized crystal structure of ReSbTe2As from Alexandria via LeMat-Bulk. Energies are from PBE-GGA.

The structure in POSCAR format:
```
ReSbTe2As
1.0
-2.3087 -1.1231 -4.4814
1.9843 -4.7653 0.1720
-4.2129 -1.6609 2.5866
Te As Sb Re
2 1 1 1
Direct
0.0000 0.5000 0.0000 Te
0.5000 0.0000 0.0000 Te
0.5000 0.5000 0.5000 As
0.0000 0.0000 0.5000 Sb
0.0000 0.0000 0.0000 Re
```

## Properties
Fermi-level density of states = 4.6 states/eV/cell
excess energy over the best structure of this formula in the dataset = 0.0 kJ/mol of formula units
formation energy from raw total energies = 0.840 eV/atom
uncorrected energy = -4.661 eV/atom

---

Record 7
Here is an optimized crystal structure of Ca2Ga3Ge4Pd from Alexandria via LeMat-Bulk. Energies are from PBE-GGA.

The structure in POSCAR format:
```
Ca2Ga3Ge4Pd
1.0
4.5047 0.0000 0.0000
0.0000 4.5047 0.0000
0.0000 0.0000 10.2739
Ge Ga Ca Pd
4 3 2 1
Direct
0.5000 0.0000 0.6265 Ge
0.5000 0.5000 0.0000 Ge
0.0000 0.5000 0.3735 Ge
0.0000 0.0000 0.0000 Ge
0.5000 0.0000 0.8679 Ga
0.0000 0.5000 0.1321 Ga
0.0000 0.0000 0.5000 Ga
0.0000 0.5000 0.7357 Ca
0.5000 0.0000 0.2643 Ca
0.5000 0.5000 0.5000 Pd
```

## Properties
Fermi-level density of states = 2.9 states/eV/cell
DFT formation energy = -361 meV/atom
uncorrected energy = -4.036 eV/atom

---

Record 8
Here is an optimized crystal structure of Cr4W3 from Alexandria via LeMat-Bulk. Energies are from PBE-GGA.

The structure in POSCAR format:
```
Cr4W3
1.0
-1.0507 -2.1591 -1.8251
4.1031 -6.3465 7.6379
-2.4685 -0.2485 1.7150
Cr W
4 3
Direct
0.1383 0.2766 0.8617 Cr
0.8617 0.7234 0.1383 Cr
0.5717 0.1433 0.4283 Cr
0.4283 0.8567 0.5717 Cr
0.2902 0.5805 0.7098 W
0.7098 0.4195 0.2902 W
0.0000 0.0000 0.0000 W
```

## Properties
Fermi-level density of states = 4.8 states/eV/cell
DFT formation energy = 74 meV/atom
uncorrected energy = -10.976 eV/atom

---

Record 9
Here is an optimized crystal structure of CsScPt2I from Alexandria via LeMat-Bulk. Energies are from PBE-GGA.

The structure in POSCAR format:
```
CsScPt2I
1.0
5.2108 0.0000 0.0000
0.0000 6.5708 0.0000
0.0000 0.0000 5.2108
Cs Pt Sc I
1 2 1 1
Direct
0.0000 0.0000 0.0000 Cs
0.5000 0.0000 0.0000 Pt
0.0000 0.0000 0.5000 Pt
0.5000 0.5000 0.5000 Sc
0.0000 0.5000 0.0000 I
```

## Properties
Fermi-level density of states = 8.0 states/eV/cell
formation energy from raw total energies = 1.280 eV/atom
uncorrected energy = -2.883 eV/atom

---

Record 10
Here is an optimized crystal structure of GaTe2Os from Alexandria via LeMat-Bulk. Energies are from PBE-GGA.

The structure in POSCAR format:
```
GaTe2Os
1.0
1.7946 0.0000 10.9949
-0.8973 1.5542 10.9949
-0.8973 -1.5542 10.9949
Ga Te Os
1 2 1
Direct
0.5000 0.5000 0.5000 Ga
0.0775 0.0775 0.0775 Te
0.9225 0.9225 0.9225 Te
0.0000 0.0000 0.0000 Os
```

## Properties
Fermi-level density of states = 2.5 states/eV/cell
formation energy from raw total energies = 0.675 eV/atom
uncorrected energy = -4.460 eV/atom

---

Record 11
Here is an optimized crystal structure of Co2NiW from Alexandria via LeMat-Bulk. Energies are from PBE-GGA.

The structure in POSCAR format:
```
Co2NiW
1.0
4.4129 -0.0039 0.0069
3.6284 2.5117 0.0069
0.7576 0.2363 4.3739
W Co Ni
1 2 1
Direct
0.2500 0.2500 0.2500 W
0.4963 0.4963 0.5132 Co
0.0037 0.0037 0.9868 Co
0.7500 0.7500 0.7500 Ni
```

## Properties
Fermi-level density of states = 5.3 states/eV/cell
excess energy over the best structure of this formula in the dataset = 52.6 kJ/mol of formula units
DFT formation energy = 94 meV/atom
uncorrected energy = -8.143 eV/atom

---

Record 12
Here is an optimized crystal structure of Al2CoReSb from Alexandria via LeMat-Bulk. Energies are from PBE-GGA.

The structure in POSCAR format:
```
Al2CoReSb
1.0
-0.8124 3.5864 -3.5558
-4.0086 1.5289 2.4578
2.8822 3.2866 2.6564
Co Al Sb Re
1 2 1 1
Direct
0.5000 0.5000 0.5000 Co
0.0000 0.0000 0.5000 Al
0.5000 0.0000 0.0000 Al
0.0000 0.0000 0.0000 Sb
0.0000 0.5000 0.0000 Re
```

## Properties
Fermi-level density of states = 7.0 states/eV/cell
formation energy from raw total energies = 2.046 eV/atom
uncorrected energy = -4.187 eV/atom

---

Record 13
Here is an optimized crystal structure of AgPPt from Alexandria via LeMat-Bulk. Energies are from PBE-GGA.

The structure in POSCAR format:
```
AgPPt
1.0
5.2398 -0.0046 0.0051
4.2080 3.1224 0.0083
1.0318 0.3376 3.1087
P Pt Ag
1 1 1
Direct
0.7095 0.7095 0.2905 P
0.2956 0.2956 0.7044 Pt
0.9949 0.9949 0.0051 Ag
```

## Properties
Fermi-level density of states = 0.4 states/eV/cell
excess energy over the best structure of this formula in the dataset = 26.4 kJ/mol of formula units
DFT formation energy = -75 meV/atom
uncorrected energy = -4.842 eV/atom

---

Record 14
Here is an optimized crystal structure of ZrSc2Tl from Alexandria via LeMat-Bulk. Energies are from PBE-GGA.

The structure in POSCAR format:
```
ZrSc2Tl
1.0
4.2373 0.0000 -0.0182
0.0000 4.3272 0.0000
-2.0751 0.0000 10.4788
Sc Zr Tl
4 2 2
Direct
0.9362 0.2500 0.8726 Sc
0.4390 0.7500 0.8783 Sc
0.0638 0.7500 0.1274 Sc
0.5610 0.2500 0.1217 Sc
0.6922 0.7500 0.3841 Zr
0.3078 0.2500 0.6159 Zr
0.1667 0.2500 0.3329 Tl
0.8333 0.7500 0.6671 Tl
```

## Properties
Fermi-level density of states = 11.0 states/eV/cell
excess energy over the best structure of this formula in the dataset = 62.2 kJ/mol of formula units
DFT formation energy = -6 meV/atom
uncorrected energy = -5.901 eV/atom

---

Record 15
Here is an optimized crystal structure of Ca2Ga3Ge4 from Alexandria via LeMat-Bulk. Energies are from PBE-GGA.

The structure in POSCAR format:
```
Ca2Ga3Ge4
1.0
-5.2748 0.6591 -2.7313
0.2699 -7.7349 -2.3879
-0.9746 -2.4511 7.8294
Ca Ga Ge
4 6 8
Direct
0.6146 0.9201 0.2292 Ca
0.3854 0.0799 0.7708 Ca
0.1146 0.5799 0.2292 Ca
0.8854 0.4201 0.7708 Ca
0.5312 0.7500 0.5625 Ga
0.9688 0.2500 0.4375 Ga
0.0000 0.0000 0.0000 Ga
0.4688 0.2500 0.4375 Ga
0.5000 0.5000 0.0000 Ga
0.0312 0.7500 0.5625 Ga
0.3160 0.4517 0.6320 Ge
0.1988 0.7500 0.8976 Ge
0.8160 0.0483 0.6320 Ge
0.6840 0.5483 0.3680 Ge
0.3012 0.2500 0.1024 Ge
0.1840 0.9517 0.3680 Ge
0.8012 0.2500 0.1024 Ge
0.6988 0.7500 0.8976 Ge
```

## Properties
Fermi-level density of states = 5.4 states/eV/cell
DFT formation energy = -307 meV/atom
uncorrected energy = -3.813 eV/atom

---

Record 16
Here is an optimized crystal structure of LaCdAsS from Alexandria via LeMat-Bulk. Energies are from PBE-GGA.

The structure in POSCAR format:
```
LaCdAsS
1.0
-0.6205 3.6178 -2.7415
-2.5901 -2.5545 -2.7848
-7.8183 2.4597 5.0156
La S Cd As
2 2 2 2
Direct
0.5000 0.0000 0.6651 La
0.0000 0.5000 0.3349 La
0.5000 0.5000 0.5000 S
0.0000 0.0000 0.5000 S
0.5000 0.5000 0.0000 Cd
0.0000 0.0000 0.0000 Cd
0.0000 0.5000 0.8220 As
0.5000 0.0000 0.1780 As
```

## Properties
Fermi-level density of states = 0.1 states/eV/cell
formation energy from raw total energies = -1.114 eV/atom
uncorrected energy = -4.769 eV/atom

---

Record 17
Here is an optimized crystal structure of Sr2LiCd4In3 from Alexandria via LeMat-Bulk. Energies are from PBE-GGA.

The structure in POSCAR format:
```
Sr2LiCd4In3
1.0
4.8295 0.0000 0.0000
0.0000 4.8295 0.0000
0.0000 0.0000 11.9536
Cd In Sr Li
4 3 2 1
Direct
0.5000 0.5000 0.0000 Cd
0.5000 0.0000 0.6254 Cd
0.0000 0.0000 0.0000 Cd
0.0000 0.5000 0.3746 Cd
0.5000 0.0000 0.8598 In
0.0000 0.0000 0.5000 In
0.0000 0.5000 0.1402 In
0.5000 0.0000 0.2474 Sr
0.0000 0.5000 0.7526 Sr
0.5000 0.5000 0.5000 Li
```

## Properties
Fermi-level density of states = 6.4 states/eV/cell
DFT formation energy = -273 meV/atom
uncorrected energy = -1.988 eV/atom

---

Record 18
Here is an optimized crystal structure of TlBSe4 from Alexandria via LeMat-Bulk. Energies are from PBE-GGA.

The structure in POSCAR format:
```
TlBSe4
1.0
-5.7068 1.1788 4.6819
-0.4659 -5.4346 -4.9487
2.7705 -7.3765 2.3597
B Se Tl
2 8 2
Direct
0.7500 0.9590 0.0820 B
0.2500 0.0410 0.9180 B
0.7172 0.7800 0.9367 Se
0.7828 0.2833 0.9367 Se
0.4908 0.2609 0.7371 Se
0.9907 0.9979 0.2629 Se
0.2172 0.7167 0.0633 Se
0.0093 0.0021 0.7371 Se
0.2828 0.2200 0.0633 Se
0.5092 0.7391 0.2629 Se
0.7500 0.3603 0.2794 Tl
0.2500 0.6397 0.7206 Tl
```

## Properties
excess energy over the best structure of this formula in the dataset = 0.0 kJ/mol of formula units
formation energy from raw total energies = -0.200 eV/atom
uncorrected energy = -4.030 eV/atom

---

Record 19
Here is an optimized crystal structure of CrCuHg2 from Alexandria via LeMat-Bulk. Energies are from PBE-GGA.

The structure in POSCAR format:
```
CrCuHg2
1.0
-0.7666 -0.9547 3.0655
-2.7545 -1.4238 -1.1322
3.2907 -5.6272 -0.9295
Cu Hg Cr
1 2 1
Direct
0.5000 0.5000 0.7500 Cu
0.0000 0.0000 0.5122 Hg
0.0000 0.0000 0.9878 Hg
0.5000 0.5000 0.2500 Cr
```

## Properties
Fermi-level density of states = 2.0 states/eV/cell
excess energy over the best structure of this formula in the dataset = 1.6 kJ/mol of formula units
DFT formation energy = 339 meV/atom
uncorrected energy = -3.241 eV/atom

---

Record 20
Here is an optimized crystal structure of NbH3Ru from Alexandria via LeMat-Bulk. Energies are from PBE-GGA.

The structure in POSCAR format:
```
NbH3Ru
1.0
-3.2151 1.1196 0.9982
-1.0808 -3.3663 0.2944
1.0400 -0.0373 3.3917
H Ru Nb
3 1 1
Direct
0.5000 0.0000 0.0000 H
0.0000 0.0000 0.5000 H
0.0000 0.5000 0.0000 H
0.5000 0.5000 0.5000 Ru
0.0000 0.0000 0.0000 Nb
```

## Properties
Fermi-level density of states = 1.9 states/eV/cell
uncorrected energy = -5.433 eV/atom

---

Record 21
Here is an optimized crystal structure of CePuNpN3 from Alexandria via LeMat-Bulk. Energies are from PBE-GGA.

The structure in POSCAR format:
```
CePuNpN3
1.0
-0.5666 3.2981 0.2228
-3.0220 -0.9344 6.1483
7.6017 1.1155 2.8185
N Pu Np Ce
6 2 2 2
Direct
0.7500 0.8768 0.1150 N
0.2500 0.1232 0.8850 N
0.2500 0.5897 0.8940 N
0.7500 0.4103 0.1060 N
0.2500 0.8654 0.5832 N
0.7500 0.1346 0.4168 N
0.2500 0.2062 0.5999 Pu
0.7500 0.7938 0.4001 Pu
0.7500 0.3516 0.8482 Np
0.2500 0.6484 0.1518 Np
0.2500 0.1454 0.1783 Ce
0.7500 0.8546 0.8217 Ce
```

## Properties
Fermi-level density of states = 19.5 states/eV/cell
formation energy from raw total energies = -1.031 eV/atom
uncorrected energy = -10.729 eV/atom

---

Record 22
Here is an optimized crystal structure of Hf2TcTe from Alexandria via LeMat-Bulk. Energies are from PBE-GGA.

The structure in POSCAR format:
```
Hf2TcTe
1.0
3.1629 0.0000 0.0000
1.5815 2.7392 0.0000
1.5815 0.9131 9.8766
Te Hf Tc
1 2 1
Direct
0.5000 0.5000 0.5000 Te
0.9179 0.9179 0.2463 Hf
0.0821 0.0821 0.7537 Hf
0.0000 0.0000 0.0000 Tc
```

## Properties
Fermi-level density of states = 3.8 states/eV/cell
formation energy from raw total energies = 0.414 eV/atom
uncorrected energy = -7.940 eV/atom

---

Record 23
Here is an optimized crystal structure of CuTe2HI from Alexandria via LeMat-Bulk. Energies are from PBE-GGA.

The structure in POSCAR format:
```
CuTe2HI
1.0
4.2633 0.0000 0.0000
0.0000 4.2633 0.0000
0.0000 0.0000 8.5139
Te H I Cu
2 1 1 1
Direct
0.0000 0.5000 0.0000 Te
0.5000 0.0000 0.0000 Te
0.0000 0.0000 0.0000 H
0.0000 0.0000 0.5000 I
0.5000 0.5000 0.5000 Cu
```

## Properties
Fermi-level density of states = 2.5 states/eV/cell
excess energy over the best structure of this formula in the dataset = 0.0 kJ/mol of formula units
uncorrected energy = -2.582 eV/atom

---

Record 24
Here is an optimized crystal structure of CuGePdRu from Alexandria via LeMat-Bulk. Energies are from PBE-GGA.

The structure in POSCAR format:
```
CuGePdRu
1.0
4.2744 0.0000 0.0000
2.1372 3.7018 0.0000
2.1372 1.2339 3.4901
Cu Pd Ge Ru
1 1 1 1
Direct
0.7500 0.7500 0.7500 Cu
0.0000 0.0000 0.0000 Pd
0.2500 0.2500 0.2500 Ge
0.5000 0.5000 0.5000 Ru
```

## Properties
Fermi-level density of states = 1.6 states/eV/cell
DFT formation energy = -185 meV/atom
uncorrected energy = -5.981 eV/atom